No. 1
LuTlGa | OQMD | GGA-PBE | optimized geometry; symmetry = No. 216; total DFT energy (no corrections) = -3.280 eV per atom
1.0
0.000 3.426 3.426
3.426 0.000 3.426
3.426 3.426 0.000
Lu Tl Ga
1 1 1
Direct
0.000 0.000 0.000
0.750 0.750 0.750
0.500 0.500 0.500

---

No. 2
BeZnCuTc | OQMD | GGA-PBE | optimized geometry; energy above the lowest structure with this stoichiometry = 0.18 eV/f.u.; symmetry = No. 216; total DFT energy (no corrections) = -4.566 eV per atom
1.0
0.000 2.904 2.904
2.904 0.000 2.904
2.904 2.904 0.000
Be Zn Cu Tc
1 1 1 1
Direct
0.000 0.000 0.000
0.750 0.750 0.750
0.500 0.500 0.500
0.250 0.250 0.250

---

No. 3
MgBeBAu | OQMD | GGA-PBE | optimized geometry; energy above the lowest structure with this stoichiometry = 0.29 eV/f.u.; symmetry = No. 216; total DFT energy (no corrections) = -3.290 eV per atom
1.0
0.000 2.962 2.962
2.962 0.000 2.962
2.962 2.962 0.000
Mg Be B Au
1 1 1 1
Direct
0.000 0.000 0.000
0.500 0.500 0.500
0.750 0.750 0.750
0.250 0.250 0.250

---

No. 4
GdMg4GaPd2 | OQMD | GGA-PBE | optimized geometry; symmetry = No. 38; total DFT energy (no corrections) = -3.095 eV per atom
1.0
7.434 0.000 0.000
0.000 2.461 6.438
0.000 -2.461 6.438
Gd Mg Ga Pd
1 4 1 2
Direct
0.000 0.000 0.000
0.222 0.622 0.622
0.309 0.333 0.333
0.691 0.333 0.333
0.778 0.622 0.622
0.000 0.220 0.220
0.000 0.425 0.425
0.000 0.783 0.783